Computed, not measured: crystalline Rb3BaPt at its relaxed geometry at the PBE level of DFT.

## Properties
- calculated formation energy (meV/atom) = 247
- magnetization (Bohr magnetons per cell) = 0.99

a b c (Å): 6.6614 6.6614 6.6614
angles (deg): 90.00 90.00 90.00
With the nearest neighbours (Å) after each atom.
Space group Pm-3m (No. 221)
Unique sites:
Rb (0.0000, 0.0000, 0.5000) (multiplicity 3)  2 Pt 3.33
Ba (0.5000, 0.5000, 0.5000) (multiplicity 1)  12 Rb 4.71
Pt (0.0000, 0.0000, 0.0000) (multiplicity 1)  6 Rb 3.33

---

Computed, not measured: crystalline Cs2TaGa at its relaxed geometry at the PBE level of DFT.

## Properties
- calculated formation energy (meV/atom) = 1136
- magnetization (Bohr magnetons per cell) = 11.25

a b c (Å): 14.0942 14.0942 5.1688
angles (deg): 90.00 90.00 90.00
With the nearest neighbours (Å) after each atom.
Space group I-42d (No. 122)
Unique sites:
Cs (0.0073, 0.7500, 0.1250) (multiplicity 8)  2 Ta 3.58
Ta (0.0000, 0.0000, 0.0000) (multiplicity 4)  2 Ga 2.58
Ga (0.0000, 0.0000, 0.5000) (multiplicity 4)  2 Ta 2.58

---

Computed, not measured: crystalline Dy4YS7 at its relaxed geometry at the PBE level of DFT.

## Properties
- magnetization (Bohr magnetons per cell) = 0.00
- ΔE_f (raw) (eV per atom) = -2.08

a b c (Å): 12.8668 3.8103 11.6149
angles (deg): 90.00 104.59 90.00
With the nearest neighbours (Å) after each atom.
Space group Cm (No. 8)
Unique sites:
Dy (0.0000, 0.0000, 0.0000) (multiplicity 2)  6 S 2.68-2.83
Dy (0.0884, 0.5000, 0.3912) (multiplicity 2)  7 S 2.75-2.95
Dy (0.1885, 0.0000, 0.7668) (multiplicity 2)  7 S 2.75-2.95
Dy (0.3884, 0.5000, 0.5789) (multiplicity 2)  6 S 2.68-2.75
Y (0.2764, 0.5000, 0.1576) (multiplicity 2)  6 S 2.69-2.83
S (0.0476, 0.5000, 0.6300) (multiplicity 2)  5 Dy 2.75-2.95
S (0.1287, 0.5000, 0.9309) (multiplicity 2)  4 Dy 2.77-2.93, 1 Y 2.83
S (0.1470, 0.0000, 0.2265) (multiplicity 2)  2 Y 2.78, 3 Dy 2.83-2.93
S (0.2293, 0.0000, 0.5279) (multiplicity 2)  5 Dy 2.75-2.95
S (0.3465, 0.5000, 0.7938) (multiplicity 2)  4 Dy 2.68-2.75
S (0.3881, 0.0000, 0.0782) (multiplicity 2)  2 Dy 2.68, 2 Y 2.69
S (0.4303, 0.5000, 0.3641) (multiplicity 2)  3 Dy 2.68-2.75, 1 Y 2.70

---

Computed, not measured: crystalline Rb3TeBr7 at its relaxed geometry at the PBE level of DFT.

## Properties
- magnetization (Bohr magnetons per cell) = 0.21
- ΔE_f (raw) (eV per atom) = -1.11

a b c (Å): 9.9606 10.7690 8.6647
angles (deg): 90.00 103.27 90.00
With the nearest neighbours (Å) after each atom.
Space group Cm (No. 8)
Unique sites:
Rb (0.0000, 0.0000, 0.0000) (multiplicity 2)  3 Br 3.38-3.62
Rb (0.0033, 0.2733, 0.5549) (multiplicity 4)  6 Br 3.37-3.74
Te (0.4666, 0.0000, 0.0513) (multiplicity 2)  6 Br 2.68-2.92
Br (0.1238, 0.3133, 0.2091) (multiplicity 4)  1 Te 2.72
Br (0.1301, 0.5000, 0.8455) (multiplicity 2)  1 Te 2.68
Br (0.3039, 0.1778, 0.8673) (multiplicity 4)  1 Te 2.77
Br (0.3096, 0.0000, 0.2970) (multiplicity 2)  1 Te 2.92
Br (0.3553, 0.5000, 0.6075) (multiplicity 2)  3 Rb 3.37-3.38, 1 Br 3.38

---

Computed, not measured: crystalline NaUAu2I8 at its relaxed geometry at the PBE level of DFT.

## Properties
- magnetization (Bohr magnetons per cell) = 0.93
- ΔE_f (raw) (eV per atom) = -0.58

a b c (Å): 7.6761 8.2648 9.4656
angles (deg): 106.89 90.20 111.17
With the nearest neighbours (Å) after each atom.
Space group P-1 (No. 2)
Unique sites:
Na (0.0000, 0.0000, 0.0000) (multiplicity 1)  6 I 3.11-3.44
U (0.0000, 0.0000, 0.5000) (multiplicity 1)  6 I 2.93-2.99
Au (0.0776, 0.4253, 0.7636) (multiplicity 2)  3 I 2.65-2.78
I (0.2032, 0.7459, 0.4581) (multiplicity 2)  1 Au 2.66, 1 U 2.98
I (0.2358, 0.7565, 0.9587) (multiplicity 2)  1 Au 2.65
I (0.2613, 0.2075, 0.3324) (multiplicity 2)  1 U 2.93
I (0.2809, 0.2091, 0.7712) (multiplicity 2)  1 Au 2.78, 1 U 2.99

---

Computed, not measured: crystalline CaSn3Se4 at its relaxed geometry at the PBE level of DFT.

## Properties
- magnetization (Bohr magnetons per cell) = 0.00
- ΔE_f (raw) (eV per atom) = -0.81

a b c (Å): 8.5721 12.1035 4.2711
angles (deg): 90.00 90.00 90.00
With the nearest neighbours (Å) after each atom.
Space group Cmmm (No. 65)
Unique sites:
Ca (0.0000, 0.0000, 0.0000) (multiplicity 2)  6 Se 2.99-3.00
Sn (0.0000, 0.5000, 0.0000) (multiplicity 2)  6 Se 3.06
Sn (0.2500, 0.2500, 0.5000) (multiplicity 4)  6 Se 3.03
Se (0.0000, 0.2475, 0.0000) (multiplicity 4)  1 Ca 3.00, 5 Sn 3.03-3.06
Se (0.2448, 0.0000, 0.5000) (multiplicity 4)  2 Ca 2.99, 4 Sn 3.03-3.06

---

Computed, not measured: crystalline NaMg3Au2 at its relaxed geometry at the PBE level of DFT.

## Properties
- calculated formation energy (meV/atom) = -421
- magnetization (Bohr magnetons per cell) = 0.00

a b c (Å): 4.6012 8.6111 6.1763
angles (deg): 90.00 90.00 90.00
With the nearest neighbours (Å) after each atom.
Space group Pmc2_1 (No. 26)
Unique sites:
Na (0.0000, 0.0387, 0.0000) (multiplicity 2)  5 Au 3.00-3.18, 6 Mg 3.15-3.28, 2 Na 3.16
Mg (0.0000, 0.3194, 0.6424) (multiplicity 2)  4 Au 2.73-2.77
Mg (0.5000, 0.1836, 0.2827) (multiplicity 2)  4 Au 2.79-2.92
Mg (0.5000, 0.4558, 0.9355) (multiplicity 2)  5 Au 2.89-3.12, 5 Mg 3.15-3.18
Au (0.0000, 0.3663, 0.2001) (multiplicity 2)  6 Mg 2.73-2.93
Au (0.5000, 0.1535, 0.7332) (multiplicity 2)  5 Mg 2.77-2.92, 2 Na 3.00

---

Computed, not measured: crystalline Li3Ag2Sn at its relaxed geometry at the PBE level of DFT.

## Properties
- distance to the lowest polymorph of the same formula (kJ/mol of formula units) = 27
- calculated formation energy (meV/atom) = -219
- magnetization (Bohr magnetons per cell) = 0.00

a b c (Å): 15.2072 4.5418 6.4341
angles (deg): 90.00 91.03 90.00
With the nearest neighbours (Å) after each atom.
Space group C2/m (No. 12)
Unique sites:
Li (0.0604, 0.0000, 0.1683) (multiplicity 4)  3 Ag 2.75-2.78, 3 Li 2.81-2.94
Li (0.1104, 0.5000, 0.4366) (multiplicity 4)  5 Ag 2.67-2.99, 3 Li 2.83-2.94, 2 Sn 2.98
Li (0.1911, 0.5000, 0.0446) (multiplicity 4)  4 Ag 2.69-3.00, 3 Li 2.83-2.95, 1 Sn 2.88
Ag (0.0415, 0.5000, 0.8151) (multiplicity 4)  5 Li 2.67-2.80, 1 Ag 2.71, 2 Sn 2.81
Ag (0.2300, 0.0000, 0.3371) (multiplicity 4)  7 Li 2.75-3.00, 3 Sn 2.85-3.01
Sn (0.1438, 0.0000, 0.7276) (multiplicity 4)  5 Ag 2.81-3.01, 6 Li 2.88-3.13

---

Computed, not measured: crystalline SrLiNdRu at its relaxed geometry at the PBE level of DFT.

## Properties
- calculated formation energy (meV/atom) = 111
- magnetization (Bohr magnetons per cell) = 0.00

a b c (Å): 7.3051 7.3051 7.3051
angles (deg): 90.00 90.00 90.00
With the nearest neighbours (Å) after each atom.
Space group F-43m (No. 216)
Unique sites:
Sr (0.0000, 0.0000, 0.0000) (multiplicity 4)  4 Li 3.16, 4 Ru 3.16
Li (0.2500, 0.2500, 0.2500) (multiplicity 4)  4 Nd 3.16, 4 Sr 3.16
Nd (0.0000, 0.0000, 0.5000) (multiplicity 4)  4 Li 3.16, 4 Ru 3.16
Ru (0.2500, 0.2500, 0.7500) (multiplicity 4)  4 Nd 3.16, 4 Sr 3.16

---

Computed, not measured: crystalline CaTb8Sn6 at its relaxed geometry at the PBE level of DFT.

## Properties
- calculated formation energy (meV/atom) = -559
- magnetization (Bohr magnetons per cell) = 0.00

a b c (Å): 9.1513 9.1513 19.3208
angles (deg): 90.00 90.00 120.00
With the nearest neighbours (Å) after each atom.
Space group R-3 (No. 148, hexagonal axes)
Unique sites:
Ca (0.0000, 0.0000, 0.0000) (multiplicity 3)  6 Sn 3.37, 6 Tb 3.60
Tb (0.0000, 0.0000, 0.3333) (multiplicity 6)  6 Sn 3.30-3.31, 6 Tb 3.66-3.67
Tb (0.0009, 0.3285, 0.1032) (multiplicity 18)  5 Sn 3.11-3.33
Sn (0.0007, 0.3389, 0.9309) (multiplicity 18)  7 Tb 3.11-3.33, 1 Ca 3.37

---

Computed, not measured: crystalline Al2ZnPb at its relaxed geometry at the PBE level of DFT.

## Properties
- distance to the lowest polymorph of the same formula (kJ/mol of formula units) = 15
- calculated formation energy (meV/atom) = 216
- magnetization (Bohr magnetons per cell) = 0.00

a b c (Å): 3.2120 3.2120 28.6694
angles (deg): 90.00 90.00 120.00
With the nearest neighbours (Å) after each atom.
Space group R-3m (No. 166, hexagonal axes)
Unique sites:
Al (0.0000, 0.0000, 0.2363) (multiplicity 6)  3 Zn 2.72
Zn (0.0000, 0.0000, 0.5000) (multiplicity 3)  6 Al 2.72
Pb (0.0000, 0.0000, 0.0000) (multiplicity 3)  6 Pb 3.21, 6 Al 3.34

---

Computed, not measured: crystalline Pm3YSc2S6 at its relaxed geometry at the PBE level of DFT.

## Properties
- magnetization (Bohr magnetons per cell) = 0.00
- ΔE_f (raw) (eV per atom) = -1.96

a b c (Å): 6.7010 11.6453 6.8447
angles (deg): 90.00 109.15 90.00
With the nearest neighbours (Å) after each atom.
Space group C2/m (No. 12)
Unique sites:
Pm (0.0000, 0.0000, 0.0000) (multiplicity 2)  6 S 2.80-2.87
Pm (0.0000, 0.3371, 0.0000) (multiplicity 4)  6 S 2.82-2.87
Y (0.0000, 0.5000, 0.5000) (multiplicity 2)  6 S 2.73-2.74
Sc (0.0000, 0.1663, 0.5000) (multiplicity 4)  6 S 2.64-2.66
S (0.2314, 0.0000, 0.7252) (multiplicity 4)  2 Sc 2.64, 1 Y 2.73, 3 Pm 2.80-2.86
S (0.2478, 0.3283, 0.7288) (multiplicity 8)  2 Sc 2.65-2.66, 1 Y 2.74, 3 Pm 2.82-2.87

---

Q: What is the formula in the tenth record?
A: CaTb8Sn6